No. 1
Here is a relaxed Ru3PbN crystal from the Alexandria database. Energies are from PBE.

```
Ru3PbN
1.0
5.090 0.000 0.000
0.000 5.090 0.000
0.000 0.000 5.090
Pb Ru N
1 3 1
Direct
0.000 0.000 0.000
0.000 0.500 0.000
0.000 0.000 0.500
0.500 0.000 0.000
0.500 0.500 0.500
```

Values from the calculation:
The value obtained for the density of states at the Fermi level is 7.34 states/eV/cell. Its calculated density is 6.60 g/cm3. The energy relative to the elements, uncorrected comes out at 3.290 eV/atom. The calculation puts the total energy at -23.4 eV per formula unit. The energy above the most stable polymorph in this dataset comes out at 281.4 kJ per mole of atoms. The calculation puts the magnetization at 8.13 μB per formula unit.


No. 2
Here is a relaxed Ru3PbN crystal from the Alexandria database. Energies are from PBE.

```
Ru3PbN
1.0
-1.688 -3.787 -0.031
3.570 -1.580 -1.395
1.263 -0.594 3.904
Pb Ru N
1 3 1
Direct
0.500 0.500 0.500
0.000 0.500 0.000
0.000 0.000 0.500
0.500 0.000 0.000
0.000 0.000 0.000
```

Values from the calculation:
The value obtained for the density of states at the Fermi level is 4.86 states/eV/cell. Its calculated density is 12.22 g/cm3. The energy relative to the elements, uncorrected comes out at 0.373 eV/atom. The calculation puts the total energy at -38.0 eV per formula unit. The energy above the most stable polymorph in this dataset comes out at 0.0 kJ per mole of atoms. The calculation puts the magnetization at 0.00 μB per formula unit.


No. 3
Here is a relaxed Ru2PbN crystal from the Alexandria database. Energies are from PBE.

```
Ru2PbN
1.0
5.561 0.000 0.000
0.000 5.561 0.000
2.780 2.780 4.607
Pb Ru N
2 4 2
Direct
0.000 0.000 0.000
0.750 0.250 0.500
0.492 0.125 0.250
0.258 0.625 0.250
0.375 0.508 0.750
0.875 0.742 0.750
0.500 0.500 0.000
0.250 0.750 0.500
```

Values from the calculation:
The value obtained for the density of states at the Fermi level is 6.28 states/eV/cell. Its calculated density is 9.87 g/cm3. The energy relative to the elements, uncorrected comes out at 0.442 eV/atom. The calculation puts the total energy at -28.8 eV per formula unit. The energy above the most stable polymorph in this dataset comes out at 0.0 kJ per mole of atoms. The calculation puts the magnetization at 0.00 μB per formula unit.


No. 4
Here is a relaxed RuPbN3 crystal from the Alexandria database. Energies are from PBE.

```
RuPbN3
1.0
4.174 0.000 0.000
0.000 4.174 0.000
0.000 0.000 4.174
Pb Ru N
1 1 3
Direct
0.000 0.000 0.000
0.500 0.500 0.500
0.000 0.500 0.000
0.000 0.000 0.500
0.500 0.000 0.000
```

Values from the calculation:
The value obtained for the density of states at the Fermi level is 4.60 states/eV/cell. Its calculated density is 8.00 g/cm3. The energy relative to the elements, uncorrected comes out at 2.833 eV/atom. The calculation puts the total energy at -23.8 eV per formula unit. The calculation puts the magnetization at 0.00 μB per formula unit.


No. 5
Here is a relaxed RuPbSN2 crystal from the Alexandria database. Energies are from PBE.

```
RuPbSN2
1.0
3.811 0.000 0.000
0.000 6.135 0.000
0.000 0.000 3.811
Pb Ru S N
1 1 1 2
Direct
0.000 0.500 0.000
0.000 0.000 0.000
0.500 0.500 0.500
0.000 0.000 0.500
0.500 0.000 0.000
```

Values from the calculation:
The value obtained for the density of states at the Fermi level is 2.74 states/eV/cell. Its calculated density is 6.87 g/cm3. The energy relative to the elements, uncorrected comes out at 0.691 eV/atom. The calculation puts the total energy at -30.3 eV per formula unit. The energy above the most stable polymorph in this dataset comes out at 9.3 kJ per mole of atoms. The calculation puts the magnetization at 0.00 μB per formula unit.


No. 6
Here is a relaxed RuPbSN2 crystal from the Alexandria database. Energies are from PBE.

```
RuPbSN2
1.0
-1.663 -3.048 2.380
-0.684 -2.317 -3.447
4.957 -2.278 0.547
Pb Ru S N
1 1 1 2
Direct
0.000 0.000 0.000
0.500 0.500 0.500
0.000 0.000 0.500
0.000 0.500 0.000
0.500 0.000 0.000
```

Values from the calculation:
The value obtained for the density of states at the Fermi level is 4.80 states/eV/cell. Its calculated density is 6.30 g/cm3. The energy relative to the elements, uncorrected comes out at 2.207 eV/atom. The calculation puts the total energy at -22.7 eV per formula unit. The energy above the most stable polymorph in this dataset comes out at 155.5 kJ per mole of atoms. The calculation puts the magnetization at 5.78 μB per formula unit.


No. 7
Here is a relaxed RuPbSN2 crystal from the Alexandria database. Energies are from PBE.

```
RuPbSN2
1.0
3.925 0.000 0.000
0.000 3.925 0.000
0.000 0.000 5.123
Pb Ru S N
1 1 1 2
Direct
0.500 0.500 0.500
0.000 0.000 0.000
0.000 0.000 0.500
0.000 0.500 0.000
0.500 0.000 0.000
```

Values from the calculation:
The value obtained for the density of states at the Fermi level is 2.79 states/eV/cell. Its calculated density is 7.75 g/cm3. The energy relative to the elements, uncorrected comes out at 0.595 eV/atom. The calculation puts the total energy at -30.8 eV per formula unit. The energy above the most stable polymorph in this dataset comes out at 0.0 kJ per mole of atoms. The calculation puts the magnetization at 0.29 μB per formula unit.


No. 8
Here is a relaxed RuPbSeN2 crystal from the Alexandria database. Energies are from PBE.

```
RuPbSeN2
1.0
-1.070 -0.506 4.034
-0.350 -4.144 -0.612
5.421 -0.658 1.356
Pb Ru Se N
1 1 1 2
Direct
0.000 0.000 0.000
0.500 0.500 0.500
0.000 0.000 0.500
0.000 0.500 0.000
0.500 0.000 0.000
```

Values from the calculation:
The value obtained for the density of states at the Fermi level is 4.60 states/eV/cell. Its calculated density is 6.94 g/cm3. The energy relative to the elements, uncorrected comes out at 2.160 eV/atom. The calculation puts the total energy at -22.3 eV per formula unit. The calculation puts the magnetization at 5.49 μB per formula unit.


No. 9
Here is a relaxed RuPbSe2N crystal from the Alexandria database. Energies are from PBE.

```
RuPbSe2N
1.0
-4.841 0.660 1.905
0.661 -4.162 3.121
1.352 2.215 2.668
Pb Ru Se N
1 1 2 1
Direct
0.500 0.500 0.500
0.000 0.000 0.000
0.000 0.500 0.000
0.500 0.000 0.000
0.000 0.000 0.500
```

Values from the calculation:
The value obtained for the density of states at the Fermi level is 5.91 states/eV/cell. Its calculated density is 7.79 g/cm3. The energy relative to the elements, uncorrected comes out at 0.117 eV/atom. The calculation puts the total energy at -27.7 eV per formula unit. The energy above the most stable polymorph in this dataset comes out at 0.0 kJ per mole of atoms. The calculation puts the magnetization at 0.00 μB per formula unit.


No. 10
Here is a relaxed RuPbSe2N crystal from the Alexandria database. Energies are from PBE.

```
RuPbSe2N
1.0
5.359 0.000 0.000
0.000 5.359 0.000
0.000 0.000 4.142
Pb Ru Se N
1 1 2 1
Direct
0.000 0.000 0.000
0.500 0.500 0.500
0.000 0.500 0.000
0.500 0.000 0.000
0.000 0.000 0.500
```

Values from the calculation:
The value obtained for the density of states at the Fermi level is 6.78 states/eV/cell. Its calculated density is 6.70 g/cm3. The energy relative to the elements, uncorrected comes out at 1.714 eV/atom. The calculation puts the total energy at -19.7 eV per formula unit. The energy above the most stable polymorph in this dataset comes out at 154.1 kJ per mole of atoms. The calculation puts the magnetization at 4.92 μB per formula unit.


No. 11
Here is a relaxed Sr2RuPbN crystal from the Alexandria database. Energies are from PBE.

```
Sr2RuPbN
1.0
-4.614 0.337 3.130
-3.129 -1.098 -4.494
0.237 -3.770 0.756
Pb Ru N Sr
1 1 1 2
Direct
0.500 0.500 0.500
0.000 0.000 0.500
0.000 0.000 0.000
0.000 0.500 0.000
0.500 0.000 0.000
```

Values from the calculation:
The value obtained for the density of states at the Fermi level is 2.61 states/eV/cell. Its calculated density is 6.87 g/cm3. The energy relative to the elements, uncorrected comes out at -0.382 eV/atom. The calculation puts the total energy at -26.6 eV per formula unit. The calculation puts the magnetization at 0.00 μB per formula unit.


No. 12
Here is a relaxed TeRuPbN2 crystal from the Alexandria database. Energies are from PBE.

```
TeRuPbN2
1.0
-3.395 1.730 -1.628
1.084 -1.398 -3.747
-2.913 -4.818 0.955
Pb Ru Te N
1 1 1 2
Direct
0.500 0.500 0.500
0.000 0.000 0.000
0.000 0.000 0.500
0.000 0.500 0.000
0.500 0.000 0.000
```

Values from the calculation:
The value obtained for the density of states at the Fermi level is 2.76 states/eV/cell. Its calculated density is 7.86 g/cm3. The energy relative to the elements, uncorrected comes out at 0.951 eV/atom. The calculation puts the total energy at -28.0 eV per formula unit. The energy above the most stable polymorph in this dataset comes out at 0.0 kJ per mole of atoms. The calculation puts the magnetization at 0.42 μB per formula unit.


No. 13
Here is a relaxed TeRuPbN2 crystal from the Alexandria database. Energies are from PBE.

```
TeRuPbN2
1.0
4.238 0.000 0.000
0.000 4.238 0.000
0.000 0.000 6.078
Pb Ru Te N
1 1 1 2
Direct
0.000 0.000 0.000
0.500 0.500 0.500
0.000 0.000 0.500
0.000 0.500 0.000
0.500 0.000 0.000
```

Values from the calculation:
The value obtained for the density of states at the Fermi level is 5.64 states/eV/cell. Its calculated density is 7.06 g/cm3. The energy relative to the elements, uncorrected comes out at 2.132 eV/atom. The calculation puts the total energy at -22.1 eV per formula unit. The energy above the most stable polymorph in this dataset comes out at 114.0 kJ per mole of atoms. The calculation puts the magnetization at 5.29 μB per formula unit.


No. 14
Here is a relaxed Te2RuPbN crystal from the Alexandria database. Energies are from PBE.

```
Te2RuPbN
1.0
-4.270 3.622 1.732
-3.203 -4.598 1.718
1.712 0.216 3.770
Pb Ru Te N
1 1 2 1
Direct
0.000 0.000 0.000
0.500 0.500 0.500
0.000 0.500 0.000
0.500 0.000 0.000
0.000 0.000 0.500
```

Values from the calculation:
The value obtained for the density of states at the Fermi level is 7.23 states/eV/cell. Its calculated density is 6.73 g/cm3. The energy relative to the elements, uncorrected comes out at 1.754 eV/atom. The calculation puts the total energy at -18.8 eV per formula unit. The energy above the most stable polymorph in this dataset comes out at 153.8 kJ per mole of atoms. The calculation puts the magnetization at 4.04 μB per formula unit.